i.
A plane-wave DFT calculation with PBE was carried out for a relaxed Ge3PbO crystal.

The space group is Pm-3m (No. 221) and the conventional cell measures 5.4920, 5.4920 and 5.4920 Å, with angles of 90.00, 90.00 and 90.00 degrees. The asymmetric unit holds Ge at (0.0000, 0.0000, 0.5000), Pb at (0.0000, 0.0000, 0.0000) and O at (0.5000, 0.5000, 0.5000).

The calculation puts the density of states at the Fermi level at 0.9286 states/eV/atom.


ii.
A plane-wave DFT calculation with PBE was carried out for a relaxed Ge3PbO crystal.

The space group is Pm-3m (No. 221) and the conventional cell measures 4.6348, 4.6348 and 4.6348 Å, with angles of 90.00, 90.00 and 90.00 degrees. The asymmetric unit holds Ge at (0.0000, 0.0000, 0.5000), Pb at (0.5000, 0.5000, 0.5000) and O at (0.0000, 0.0000, 0.0000).

The calculation puts the density of states at the Fermi level at 0.1511 states/eV/atom.


Stability, highest: ii


i.
A plane-wave DFT calculation with PBE was carried out for a relaxed Ge2PdO2 crystal.

The space group is P4/mbm (No. 127) and the conventional cell measures 7.1801, 7.1801 and 2.9749 Å, with angles of 90.00, 90.00 and 90.00 degrees. The asymmetric unit holds Ge at (0.2499, 0.2501, 0.0000), Pd at (0.0000, 0.0000, 0.5000) and O at (0.1384, 0.3616, 0.5000).

The calculation puts the density of states at the Fermi level at 0.0442 states/eV/atom.


ii.
A plane-wave DFT calculation with PBE was carried out for a relaxed Ge2PdO2 crystal.

The space group is I4/mmm (No. 139) and the conventional cell measures 4.5134, 4.5134 and 7.5883 Å, with angles of 90.00, 90.00 and 90.00 degrees. The asymmetric unit holds Ge at (0.0000, 0.5000, 0.2500), Pd at (0.0000, 0.0000, 0.0000) and O at (0.0000, 0.0000, 0.2763).

The calculation puts the density of states at the Fermi level at 0.1271 states/eV/atom.


Stability, highest: i


i.
A plane-wave DFT calculation with PBE was carried out for a relaxed Ge3PdO crystal.

The space group is Pm-3m (No. 221) and the conventional cell measures 4.3811, 4.3811 and 4.3811 Å, with angles of 90.00, 90.00 and 90.00 degrees. The asymmetric unit holds Ge at (0.0000, 0.0000, 0.5000), Pd at (0.5000, 0.5000, 0.5000) and O at (0.0000, 0.0000, 0.0000).

The calculation puts the density of states at the Fermi level at 0.6541 states/eV/atom.


ii.
A plane-wave DFT calculation with PBE was carried out for a relaxed Ge3PdO crystal.

The space group is Pm-3m (No. 221) and the conventional cell measures 4.7967, 4.7967 and 4.7967 Å, with angles of 90.00, 90.00 and 90.00 degrees. The asymmetric unit holds Ge at (0.0000, 0.0000, 0.5000), Pd at (0.0000, 0.0000, 0.0000) and O at (0.5000, 0.5000, 0.5000).

The calculation puts the density of states at the Fermi level at 0.8358 states/eV/atom.


Stability, highest: i


i.
A plane-wave DFT calculation with PBE was carried out for a relaxed Pm3GeO crystal.

The space group is Pm-3m (No. 221) and the conventional cell measures 4.8424, 4.8424 and 4.8424 Å, with angles of 90.00, 90.00 and 90.00 degrees. The asymmetric unit holds Pm at (0.0000, 0.0000, 0.5000), Ge at (0.5000, 0.5000, 0.5000) and O at (0.0000, 0.0000, 0.0000).

The calculation puts the density of states at the Fermi level at 0.6712 states/eV/atom.


ii.
A plane-wave DFT calculation with PBE was carried out for a relaxed Pm3GeO crystal.

The space group is P2_1/c (No. 14) and the conventional cell measures 9.1614, 6.2099 and 8.8484 Å, with angles of 90.00, 111.96 and 90.00 degrees. The asymmetric unit holds Pm at (0.0586, 0.1020, 0.3487), Pm at (0.1886, 0.5877, 0.5512), Pm at (0.3721, 0.1202, 0.7674), Ge at (0.3771, 0.6315, 0.9113) and O at (0.0750, 0.2424, 0.6101).

The calculation puts the density of states at the Fermi level at 0.7536 states/eV/atom.


Stability, highest: i